DFT (PBE-GGA) results for a relaxed BaCe2BrO4 crystal.

Cell: 4.0961 4.0961 9.9433 Å, 90.00 90.00 90.00°
Last column: nearest neighbours and their distance in Å.
Element x y z (fractional)
Ba1 0.0000 0.0000 0.0000  8 O 2.75
Ce1 0.5000 0.5000 0.2692  4 O 2.22
Ce2 0.5000 0.5000 0.7308  4 O 2.22
Br1 0.0000 0.0000 0.5000  8 Ce 3.70, 8 O 3.75, 4 Br 4.10
O1 0.0000 0.5000 0.1840  2 Ce 2.22
O2 0.5000 0.0000 0.8160  2 Ce 2.22
O3 0.5000 0.0000 0.1840  2 Ce 2.22
O4 0.0000 0.5000 0.8160  2 Ce 2.22

Results
Space-group type ... P4/mmm, No. 123
D(E_F) ... 8.27 states/eV/cell
Raw formation energy ... -2924 meV/atom
Crystal system ... tetragonal